No. 1
Al2CoCl | PBE | relaxed

Results
As for the energy relative to the elements, uncorrected: 0.476 eV per atom. As for the space group: No. 225. The calculation puts the energy above the lowest structure with this stoichiometry at 927 meV/atom.

Cell: 4.4784 4.4784 4.4784 Å, 60.00 60.00 60.00°
Closest atoms and distances in Å follow each position.
Element x y z (fractional)
Co  0.5000  0.5000  0.5000  8 Al 2.74
Al  0.2500  0.2500  0.2500  4 Co 2.74, 4 Cl 2.74
Al  0.7500  0.7500  0.7500  4 Cl 2.74, 4 Co 2.74
Cl  0.0000  0.0000  0.0000  8 Al 2.74

=====

No. 2
Al2Co2Cl | PBE | relaxed

Results
As for the energy relative to the elements, uncorrected: -0.054 eV per atom. As for the space group: No. 127. The calculation puts the energy above the lowest structure with this stoichiometry at 0 meV/atom.

Cell: 6.8467 6.8467 2.9223 Å, 90.00 90.00 90.00°
Closest atoms and distances in Å follow each position.
Element x y z (fractional)
Co  0.3515  0.8515  0.0000  6 Al 2.48, 2 Cl 2.61
Co  0.8515  0.6485  0.0000  6 Al 2.48, 2 Cl 2.61
Co  0.6485  0.1485  0.0000  6 Al 2.48, 2 Cl 2.61
Co  0.1485  0.3515  0.0000  6 Al 2.48, 2 Cl 2.61
Al  0.1442  0.6442  0.5000  6 Co 2.48
Al  0.6442  0.8558  0.5000  6 Co 2.48
Al  0.8558  0.3558  0.5000  6 Co 2.48
Al  0.3558  0.1442  0.5000  6 Co 2.48
Cl  0.0000  0.0000  0.0000  4 Co 2.61, 2 Cl 2.92
Cl  0.5000  0.5000  0.0000  4 Co 2.61, 2 Cl 2.92

=====

No. 3
Al3CoCl | PBE | relaxed

Results
As for the energy relative to the elements, uncorrected: 1.085 eV per atom. As for the space group: No. 221. The calculation puts the energy above the lowest structure with this stoichiometry at 1317 meV/atom.

Cell: 4.7602 4.7602 4.7602 Å, 90.00 90.00 90.00°
Closest atoms and distances in Å follow each position.
Element x y z (fractional)
Co  0.5000  0.5000  0.5000  12 Al 3.37
Al  0.0000  0.5000  0.0000  2 Cl 2.38
Al  0.0000  0.0000  0.5000  2 Cl 2.38
Al  0.5000  0.0000  0.0000  2 Cl 2.38
Cl  0.0000  0.0000  0.0000  6 Al 2.38

=====

No. 4
AlCo2Cl | PBE | relaxed

Results
As for the energy relative to the elements, uncorrected: 0.142 eV per atom. As for the space group: No. 44. The calculation puts the energy above the lowest structure with this stoichiometry at 232 meV/atom.

Cell: 6.0410 6.0410 6.0410 Å, 152.64 143.01 46.62°
Closest atoms and distances in Å follow each position.
Element x y z (fractional)
Co  0.0109  0.0109  0.0000  4 Al 2.45, 2 Co 2.46, 2 Cl 2.49
Co  0.8299  0.3299  0.5000  2 Al 2.43, 2 Co 2.46
Al  0.4642  0.4642  0.0000  6 Co 2.43-2.45
Cl  0.1951  0.6951  0.5000  2 Co 2.49

=====

No. 5
AlCo2Cl | PBE | relaxed

Results
As for the energy relative to the elements, uncorrected: 0.314 eV per atom. As for the space group: No. 47. The calculation puts the energy above the lowest structure with this stoichiometry at 404 meV/atom.

Cell: 2.8179 4.8907 4.0322 Å, 90.00 90.00 90.00°
Closest atoms and distances in Å follow each position.
Element x y z (fractional)
Co  0.0000  0.0000  0.0000  4 Al 2.46
Co  0.5000  0.5000  0.0000  4 Cl 2.46
Al  0.5000  0.0000  0.5000  4 Co 2.46
Cl  0.0000  0.5000  0.5000  4 Co 2.46

=====

No. 6
Al2CoCl | PBE | relaxed

Results
As for the energy relative to the elements, uncorrected: 0.336 eV per atom. As for the space group: No. 139. The calculation puts the energy above the lowest structure with this stoichiometry at 787 meV/atom.

Cell: 4.8705 4.8705 4.8705 Å, 131.87 131.87 70.43°
Closest atoms and distances in Å follow each position.
Element x y z (fractional)
Co  0.7500  0.2500  0.5000  4 Cl 2.81, 8 Al 2.81
Al  0.0000  0.0000  0.0000  4 Al 2.81, 4 Co 2.81, 4 Cl 2.81
Al  0.5000  0.5000  0.0000  4 Al 2.81, 4 Cl 2.81, 4 Co 2.81
Cl  0.2500  0.7500  0.5000  4 Co 2.81, 8 Al 2.81

=====

No. 7
Al3CoCl | PBE | relaxed

Results
As for the energy relative to the elements, uncorrected: -0.232 eV per atom. As for the space group: No. 221. The calculation puts the energy above the lowest structure with this stoichiometry at 0 meV/atom.

Cell: 4.5783 4.5783 4.5783 Å, 90.00 90.00 90.00°
Closest atoms and distances in Å follow each position.
Element x y z (fractional)
Co  0.0000  0.0000  0.0000  6 Al 2.29
Al  0.0000  0.5000  0.0000  2 Co 2.29
Al  0.0000  0.0000  0.5000  2 Co 2.29
Al  0.5000  0.0000  0.0000  2 Co 2.29
Cl  0.5000  0.5000  0.5000  12 Al 3.24

=====

No. 8
AlCo4Cl | PBE | relaxed

Results
As for the energy relative to the elements, uncorrected: 0.451 eV per atom. As for the space group: No. 216.

Cell: 4.8768 4.8768 4.8768 Å, 60.00 60.00 60.00°
Closest atoms and distances in Å follow each position.
Element x y z (fractional)
Al  0.7500  0.7500  0.7500  12 Co 2.86, 4 Cl 2.99
Co  0.8735  0.3755  0.3755  6 Co 2.43-2.45
Co  0.3755  0.3755  0.8735  6 Co 2.43-2.45
Co  0.3755  0.8735  0.3755  6 Co 2.43-2.45
Co  0.3755  0.3755  0.3755  6 Co 2.43-2.45
Cl  0.0000  0.0000  0.0000  12 Co 2.86, 4 Al 2.99

=====

No. 9
Al2CoCl2 | PBE | relaxed

Results
As for the energy relative to the elements, uncorrected: 0.062 eV per atom. As for the space group: No. 127. The calculation puts the energy above the lowest structure with this stoichiometry at 0 meV/atom.

Cell: 6.0711 6.0711 5.2693 Å, 90.00 90.00 90.00°
Closest atoms and distances in Å follow each position.
Element x y z (fractional)
Co  0.0000  0.0000  0.0000  4 Cl 2.23
Co  0.5000  0.5000  0.0000  4 Cl 2.23
Al  0.3158  0.8158  0.5000  2 Cl 2.64
Al  0.8158  0.6842  0.5000  2 Cl 2.64
Al  0.6842  0.1842  0.5000  2 Cl 2.64
Al  0.1842  0.3158  0.5000  2 Cl 2.64
Cl  0.3220  0.8220  0.0000  2 Co 2.23
Cl  0.8220  0.6780  0.0000  2 Co 2.23
Cl  0.6780  0.1780  0.0000  2 Co 2.23
Cl  0.1780  0.3220  0.0000  2 Co 2.23

=====

No. 10
Al2CoCl | PBE | relaxed

Results
As for the energy relative to the elements, uncorrected: -0.268 eV per atom. As for the space group: No. 123. The calculation puts the energy above the lowest structure with this stoichiometry at 183 meV/atom.

Cell: 2.9257 2.9257 7.2436 Å, 90.00 90.00 90.00°
Closest atoms and distances in Å follow each position.
Element x y z (fractional)
Co  0.5000  0.5000  0.7500  8 Al 2.50
Al  0.0000  0.0000  0.9427  4 Co 2.50, 1 Al 2.79
Al  0.0000  0.0000  0.5573  4 Co 2.50, 1 Al 2.79
Cl  0.5000  0.5000  0.2500  4 Cl 2.93, 8 Al 3.04

=====

No. 11
Al2CoCl | PBE | relaxed

Results
As for the energy relative to the elements, uncorrected: -0.316 eV per atom. As for the space group: No. 8. The calculation puts the energy above the lowest structure with this stoichiometry at 135 meV/atom.

Cell: 8.2770 8.2770 3.9035 Å, 100.72 100.72 19.89°
Closest atoms and distances in Å follow each position.
Element x y z (fractional)
Co  0.2946  0.2946  0.1870  6 Al 2.32-2.44
Al  0.9091  0.9091  0.2772  2 Cl 2.31, 2 Co 2.32
Al  0.7735  0.7735  0.6704  4 Co 2.44
Cl  0.5227  0.5227  0.3654  2 Al 2.31

=====

No. 12
Al2CoCl | PBE | relaxed

Results
As for the energy relative to the elements, uncorrected: -0.451 eV per atom. As for the space group: No. 47. The calculation puts the energy above the lowest structure with this stoichiometry at 0 meV/atom.

Cell: 2.9212 2.9654 7.1288 Å, 89.99 90.00 90.00°
Closest atoms and distances in Å follow each position.
Element x y z (fractional)
Co  0.5000  0.7500  0.7500  8 Al 2.50
Al  0.0000  0.2499  0.9431  4 Co 2.50, 2 Cl 2.63, 1 Al 2.75
Al  0.0000  0.2501  0.5569  4 Co 2.50, 2 Cl 2.63, 1 Al 2.75
Cl  0.5000  0.2500  0.2500  4 Al 2.63, 2 Cl 2.92

=====

No. 13
AlCo2Cl | PBE | relaxed

Results
As for the energy relative to the elements, uncorrected: 0.617 eV per atom. As for the space group: No. 216. The calculation puts the energy above the lowest structure with this stoichiometry at 707 meV/atom.

Cell: 4.2660 4.2660 4.2660 Å, 60.00 60.00 60.00°
Closest atoms and distances in Å follow each position.
Element x y z (fractional)
Co  0.0000  0.0000  0.0000  4 Co 2.61, 4 Cl 2.61
Co  0.2500  0.2500  0.2500  4 Co 2.61, 4 Al 2.61
Al  0.5000  0.5000  0.5000  4 Cl 2.61, 4 Co 2.61
Cl  0.7500  0.7500  0.7500  4 Co 2.61, 4 Al 2.61

=====

No. 14
AlCo2Cl | PBE | relaxed

Results
As for the energy relative to the elements, uncorrected: 0.230 eV per atom. As for the space group: No. 65. The calculation puts the energy above the lowest structure with this stoichiometry at 320 meV/atom.

Cell: 2.8825 2.8825 7.7321 Å, 90.00 90.00 119.88°
Closest atoms and distances in Å follow each position.
Element x y z (fractional)
Co  0.0000  0.0000  0.9985  2 Cl 2.40, 2 Al 2.42
Co  0.0000  0.0000  0.5015  2 Cl 2.40, 2 Al 2.42
Al  0.5000  0.5000  0.2500  4 Co 2.42
Cl  0.5000  0.5000  0.7500  4 Co 2.40

=====

No. 15
Al2CoCl | PBE | relaxed

Results
As for the energy relative to the elements, uncorrected: 0.504 eV per atom. As for the space group: No. 216. The calculation puts the energy above the lowest structure with this stoichiometry at 955 meV/atom.

Cell: 4.5247 4.5247 4.5247 Å, 60.00 60.00 60.00°
Closest atoms and distances in Å follow each position.
Element x y z (fractional)
Co  0.7500  0.7500  0.7500  4 Cl 2.77, 4 Al 2.77
Al  0.0000  0.0000  0.0000  4 Co 2.77, 4 Al 2.77
Al  0.2500  0.2500  0.2500  4 Cl 2.77, 4 Al 2.77
Cl  0.5000  0.5000  0.5000  4 Co 2.77, 4 Al 2.77

=====

No. 16
AlCo2Cl | PBE | relaxed

Results
As for the energy relative to the elements, uncorrected: 0.419 eV per atom. As for the space group: No. 122. The calculation puts the energy above the lowest structure with this stoichiometry at 510 meV/atom.

Cell: 3.9984 3.9984 7.8786 Å, 75.30 75.30 90.00°
Closest atoms and distances in Å follow each position.
Element x y z (fractional)
Co  0.6792  0.1250  0.2500  2 Cl 2.23, 2 Al 2.42
Co  0.0708  0.6250  0.2500  2 Cl 2.23, 2 Al 2.42
Co  0.3750  0.3208  0.7500  2 Cl 2.23, 2 Al 2.42
Co  0.8750  0.9292  0.7500  2 Cl 2.23, 2 Al 2.42
Al  0.5000  0.5000  0.0000  4 Co 2.42
Al  0.2500  0.7500  0.5000  4 Co 2.42
Cl  0.0000  0.0000  0.0000  4 Co 2.23
Cl  0.7500  0.2500  0.5000  4 Co 2.23

=====

No. 17
Al2CoCl | PBE | relaxed

Results
As for the energy relative to the elements, uncorrected: 0.386 eV per atom. As for the space group: No. 119. The calculation puts the energy above the lowest structure with this stoichiometry at 837 meV/atom.

Cell: 6.1207 6.1207 6.1207 Å, 146.33 146.33 48.35°
Closest atoms and distances in Å follow each position.
Element x y z (fractional)
Co  0.7500  0.2500  0.5000  4 Al 2.51
Al  0.0000  0.0000  0.0000  4 Cl 2.51
Al  0.2500  0.7500  0.5000  4 Co 2.51
Cl  0.5000  0.5000  0.0000  4 Al 2.51

=====

No. 18
Al2CoCl2 | PBE | relaxed

Results
As for the energy relative to the elements, uncorrected: 0.384 eV per atom. As for the space group: No. 139. The calculation puts the energy above the lowest structure with this stoichiometry at 322 meV/atom.

Cell: 6.5426 6.5426 6.5426 Å, 143.95 143.95 51.90°
Closest atoms and distances in Å follow each position.
Element x y z (fractional)
Al  0.6073  0.6073  0.0000  1 Al 2.53, 4 Cl 2.63
Al  0.3927  0.3927  0.0000  1 Al 2.53, 4 Cl 2.63
Co  0.0000  0.0000  0.0000  8 Al 3.13
Cl  0.2500  0.7500  0.5000  4 Al 2.63, 4 Cl 2.86
Cl  0.7500  0.2500  0.5000  4 Al 2.63, 4 Cl 2.86

=====

No. 19
Al2CoCl | PBE | relaxed

Results
As for the energy relative to the elements, uncorrected: 0.024 eV per atom. As for the space group: No. 160. The calculation puts the energy above the lowest structure with this stoichiometry at 475 meV/atom.

Cell: 8.0655 8.0655 8.0655 Å, 22.00 22.00 22.00°
Closest atoms and distances in Å follow each position.
Element x y z (fractional)
Co  0.7402  0.7402  0.7402  3 Al 2.39
Al  0.0058  0.0058  0.0058  3 Co 2.39
Al  0.2484  0.2484  0.2484  3 Cl 2.53, 3 Al 2.78
Cl  0.5055  0.5055  0.5055  3 Al 2.53

=====

No. 20
AlCo3Cl | PBE | relaxed

Results
As for the energy relative to the elements, uncorrected: 0.654 eV per atom. As for the space group: No. 221. The calculation puts the energy above the lowest structure with this stoichiometry at 0 meV/atom.

Cell: 4.0779 4.0779 4.0779 Å, 90.00 90.00 90.00°
Closest atoms and distances in Å follow each position.
Element x y z (fractional)
Co  0.0000  0.5000  0.0000  2 Cl 2.04
Co  0.0000  0.0000  0.5000  2 Cl 2.04
Co  0.5000  0.0000  0.0000  2 Cl 2.04
Al  0.5000  0.5000  0.5000  12 Co 2.88
Cl  0.0000  0.0000  0.0000  6 Co 2.04